Entry one
CeEr6Tm8 PBE optimized geometry; calculated density = 8.6 g/cm³; Fermi-level density of states = 25.9 states/eV/cell
1.0
-4.9607 3.7815 1.5201
-5.8914 -6.4477 -3.1864
2.6425 -0.1164 8.9129
Er Tm Ce
6 8 1
direct
0.5888 0.6818 0.0969
0.4112 0.0969 0.4151
0.4112 0.5849 0.6818
0.4112 0.3182 0.9031
0.5888 0.9031 0.5849
0.5888 0.4151 0.3182
0.1696 0.6667 0.3333
0.8304 0.3333 0.6667
0.9074 0.6862 0.6610
0.0926 0.0252 0.6862
0.9074 0.9748 0.3138
0.0926 0.6610 0.9748
0.9074 0.3390 0.0252
0.0926 0.3138 0.3390
0.5000 0.0000 0.0000

Entry two
CeEr6Tm8 PBE optimized geometry; calculated density = 9.0 g/cm³; Fermi-level density of states = 24.9 states/eV/cell
1.0
8.8820 0.0000 0.0000
4.4410 7.6920 0.0000
4.4410 2.5640 6.7567
Tm Er Ce
8 6 1
direct
0.1114 0.7490 0.4215
0.8886 0.2510 0.5785
0.2819 0.8886 0.5785
0.7490 0.7181 0.4215
0.4230 0.4230 0.7309
0.7181 0.1114 0.4215
0.5770 0.5770 0.2691
0.2510 0.2819 0.5785
0.7736 0.4602 0.8751
0.8911 0.7736 0.8751
0.1089 0.2264 0.1249
0.4602 0.8911 0.8751
0.5398 0.1089 0.1249
0.2264 0.5398 0.1249
0.0000 0.0000 0.0000

Stability comparison, relative energies in meV per atom: entry one 122; entry two 0

Entry one
CeEr2Tm8 PBE optimized geometry; calculated density = 8.7 g/cm³; Fermi-level density of states = 21.9 states/eV/cell
1.0
-1.0431 -3.3610 4.1699
8.8749 -4.2929 -1.8024
9.6487 0.8822 2.5624
Er Ce Tm
2 1 8
direct
0.2480 0.7159 0.7159
0.7520 0.2841 0.2841
0.0000 0.0000 0.0000
0.7612 0.4533 0.4533
0.7342 0.3991 0.8673
0.2352 0.1874 0.1874
0.2658 0.6009 0.1327
0.7342 0.8673 0.3991
0.2658 0.1327 0.6009
0.2388 0.5467 0.5467
0.7648 0.8126 0.8126

Entry two
CeEr2Tm8 PBE optimized geometry; calculated density = 9.0 g/cm³; Fermi-level density of states = 18.2 states/eV/cell
1.0
-2.4609 -4.6558 1.1828
6.4762 -2.4222 3.9402
-4.8431 6.7184 4.0614
Tm Er Ce
8 2 1
direct
0.1627 0.1632 0.3254
0.3610 0.5698 0.7219
0.0002 0.7091 0.0004
0.6390 0.4302 0.2781
0.6395 0.8490 0.2791
0.8373 0.8368 0.6746
0.3605 0.1510 0.7209
0.9998 0.2909 0.9996
0.1996 0.6990 0.3991
0.8004 0.3010 0.6009
0.5000 0.0000 0.0000

Stability comparison, relative energies in meV per atom: entry one 43; entry two 0

Entry one
CeEr3Tm PBE optimized geometry; calculated density = 8.8 g/cm³; Fermi-level density of states = 37.3 states/eV/cell
1.0
9.3002 -2.2846 -2.2045
0.4802 8.1843 -2.2047
0.4802 -1.9113 8.2578
Ce Er Tm
4 12 4
direct
0.0441 0.1908 0.2831
0.9559 0.8092 0.7169
0.4559 0.7169 0.8092
0.5441 0.2831 0.1908
0.3215 0.4183 0.9756
0.3807 0.3011 0.5009
0.9480 0.2582 0.8820
0.1785 0.0244 0.5817
0.0520 0.7418 0.1180
0.5520 0.1180 0.7418
0.1193 0.4991 0.6989
0.8807 0.5009 0.3011
0.6785 0.5817 0.0244
0.4480 0.8820 0.2582
0.6193 0.6989 0.4991
0.8215 0.9756 0.4183
0.2500 0.0110 0.9890
0.7500 0.9890 0.0110
0.7500 0.3998 0.6002
0.2500 0.6002 0.3998

Entry two
CeEr3Tm PBE optimized geometry; calculated density = 8.7 g/cm³; Fermi-level density of states = 41.7 states/eV/cell
1.0
9.2255 0.0000 0.0000
0.0000 9.5191 -5.9767
0.0000 -5.2609 10.3400
Er Ce Tm
12 4 4
direct
0.1103 0.9585 0.5932
0.4475 0.6065 0.3251
0.0362 0.1809 0.2609
0.6103 0.0415 0.9068
0.9638 0.8191 0.7391
0.5525 0.3935 0.6749
0.8897 0.0415 0.4068
0.4638 0.1809 0.7609
0.3897 0.9585 0.0932
0.0526 0.6065 0.8251
0.5362 0.8191 0.2391
0.9474 0.3935 0.1749
0.7645 0.8476 0.4975
0.2355 0.1524 0.5025
0.7355 0.8476 0.9975
0.2645 0.1524 0.0025
0.1863 0.5586 0.0575
0.3137 0.5586 0.5575
0.6863 0.4414 0.4425
0.8137 0.4414 0.9425

Stability comparison, relative energies in meV per atom: entry one 0; entry two 35

Entry one
Ce2ErTm PBE optimized geometry; calculated density = 8.6 g/cm³; Fermi-level density of states = 10.4 states/eV/cell
1.0
-4.1330 2.7619 -0.3023
-1.0084 -1.9858 -4.3565
-2.5366 -3.5543 2.2072
Er Tm Ce
1 1 2
direct
0.5000 0.5000 0.5000
0.5000 0.0000 0.0000
0.0000 0.5000 0.0000
0.0000 0.0000 0.5000

Entry two
Ce2ErTm PBE optimized geometry; calculated density = 8.8 g/cm³; Fermi-level density of states = 17.3 states/eV/cell
1.0
-4.2140 3.4616 -7.0049
-6.1799 0.7072 -1.6161
-3.1792 5.4239 1.7513
Ce Tm Er
4 2 2
direct
0.2860 0.1655 0.0337
0.7140 0.8345 0.9663
0.2140 0.8008 0.0338
0.7860 0.1992 0.9662
0.7500 0.2862 0.4277
0.2500 0.7138 0.5723
0.0000 0.5000 0.5000
0.5000 0.0000 0.5000

Entry three
Ce2ErTm PBE optimized geometry; calculated density = 8.6 g/cm³; Fermi-level density of states = 10.1 states/eV/cell
1.0
-1.7242 -0.0170 -2.9980
-0.9891 -2.9996 -1.4090
-10.8009 -0.4142 4.2195
Tm Ce Er
1 2 1
direct
0.6681 0.6681 0.9958
0.2497 0.2497 0.2508
0.0835 0.0835 0.7495
0.4987 0.4987 0.5039

Stability comparison, relative energies in meV per atom: entry one 15; entry two 81; entry three 0

Entry one
Ce2ErTm PBE optimized geometry; calculated density = 8.6 g/cm³; Fermi-level density of states = 10.3 states/eV/cell
1.0
-2.4570 -1.3609 -2.0167
2.0917 0.2821 -2.7388
3.5847 -9.1344 1.7968
Ce Tm Er
2 1 1
direct
0.0000 0.0000 0.2507
0.0000 0.0000 0.7493
0.5000 0.5000 0.5000
0.5000 0.5000 0.0000

Entry two
Ce2ErTm PBE optimized geometry; calculated density = 8.3 g/cm³; Fermi-level density of states = 13.7 states/eV/cell
1.0
-1.1066 2.9801 4.5985
-5.0898 2.1844 0.7576
-3.3788 -2.0845 3.9358
Ce Tm Er
2 1 1
direct
0.2500 0.2500 0.2500
0.7500 0.7500 0.7500
0.0000 0.0000 0.0000
0.5000 0.5000 0.5000

Stability comparison, relative energies in meV per atom: entry one 0; entry two 103

Entry one
CeErTm4 PBE optimized geometry; calculated density = 9.0 g/cm³; Fermi-level density of states = 20.6 states/eV/cell
1.0
3.5187 0.0000 0.0000
0.0000 5.9798 -1.1624
0.0002 1.2392 16.9151
Tm Ce Er
8 2 2
direct
0.5008 0.8912 0.1665
0.0008 0.1088 0.3335
0.4992 0.1088 0.8335
0.9992 0.8912 0.6665
0.4992 0.3872 0.6676
0.0008 0.3872 0.1676
0.9992 0.6128 0.8324
0.5008 0.6128 0.3324
0.5000 0.0000 0.5000
0.0000 0.0000 0.0000
0.5000 0.5000 0.0000
0.0000 0.5000 0.5000

Entry two
CeErTm4 PBE optimized geometry; calculated density = 8.9 g/cm³; Fermi-level density of states = 22.6 states/eV/cell
1.0
-3.1360 5.4358 -0.5309
-0.6954 -3.4611 8.1393
7.7334 2.5651 -1.7965
Tm Er Ce
8 2 2
direct
0.2136 0.5817 0.7569
0.7864 0.4183 0.2431
0.0433 0.1751 0.7569
0.6344 0.0971 0.3834
0.9567 0.8249 0.2431
0.2490 0.2863 0.3834
0.7510 0.7137 0.6166
0.3656 0.9029 0.6166
0.3421 0.5921 0.1842
0.6579 0.4079 0.8158
0.7527 0.0027 0.0054
0.2473 0.9973 0.9946

Stability comparison, relative energies in meV per atom: entry one 0; entry two 149

Entry one
CeEr3Tm4 PBE optimized geometry; calculated density = 8.8 g/cm³; Fermi-level density of states = 16.2 states/eV/cell
1.0
-2.7562 0.1912 -1.9691
-1.8960 -5.9532 2.0757
-3.3090 7.5852 8.2912
Tm Ce Er
4 1 3
direct
0.2597 0.7592 0.5195
0.8746 0.6319 0.7492
0.1254 0.3681 0.2508
0.7403 0.2408 0.4805
0.5000 0.0000 0.0000
0.0000 0.5000 0.0000
0.8746 0.1189 0.7493
0.1254 0.8811 0.2507

Entry two
CeEr3Tm4 PBE optimized geometry; calculated density = 8.9 g/cm³; Fermi-level density of states = 33.5 states/eV/cell
1.0
5.4781 0.0000 0.0000
0.0000 8.4364 0.0000
0.0000 0.0000 10.5838
Tm Ce Er
8 2 6
direct
0.0412 0.1219 0.7698
0.5412 0.8781 0.7302
0.0745 0.9003 0.5000
0.0412 0.1219 0.2302
0.5412 0.8781 0.2698
0.5745 0.0997 0.0000
0.1055 0.8462 0.0000
0.6055 0.1538 0.5000
0.0688 0.3980 0.0000
0.5688 0.6020 0.5000
0.0385 0.6213 0.7302
0.5385 0.3787 0.7698
0.5385 0.3787 0.2302
0.0385 0.6213 0.2698
0.6071 0.6557 0.0000
0.1071 0.3443 0.5000

Stability comparison, relative energies in meV per atom: entry one 70; entry two 0

Entry one
CeYEr PBE optimized geometry; calculated density = 6.6 g/cm³; Fermi-level density of states = 29.3 states/eV/cell
1.0
3.0824 -11.9880 0.0000
3.0824 11.9880 0.0000
0.0000 0.0000 5.3786
Ce Er Y
4 4 4
direct
0.1247 0.6247 0.2500
0.3753 0.8753 0.7500
0.6247 0.1247 0.2500
0.8753 0.3753 0.7500
0.1361 0.1361 0.2770
0.6361 0.6361 0.2230
0.8639 0.8639 0.7230
0.3639 0.3639 0.7770
0.8786 0.1214 0.0000
0.3786 0.6214 0.5000
0.1214 0.8786 0.0000
0.6214 0.3786 0.5000

Entry two
CeYEr PBE optimized geometry; calculated density = 7.1 g/cm³; Fermi-level density of states = 6.6 states/eV/cell
1.0
-0.2978 -1.2487 3.2713
3.0280 1.4295 -1.0663
-2.6956 7.7265 2.7038
Y Er Ce
1 1 1
direct
0.0000 0.0000 0.0018
0.3333 0.6667 0.6628
0.6667 0.3333 0.3354

Stability comparison, relative energies in meV per atom: entry one 428; entry two 0

Entry one
CeYEr PBE optimized geometry; calculated density = 7.1 g/cm³; Fermi-level density of states = 6.6 states/eV/cell
1.0
-2.2379 0.4734 2.6764
2.5393 -0.8718 2.2776
1.9094 7.3817 -2.0247
Ce Er Y
1 1 1
direct
0.2848 0.2848 0.5697
0.9464 0.9464 0.8929
0.6187 0.6187 0.2374

Entry two
CeYEr PBE optimized geometry; calculated density = 7.1 g/cm³; Fermi-level density of states = 14.1 states/eV/cell
1.0
5.3516 -0.0001 -0.0012
0.0000 3.4656 -0.0009
0.0007 -1.7332 10.0108
Ce Er Y
2 2 2
direct
0.8468 0.7853 0.9935
0.3471 0.2042 0.8300
0.3468 0.0379 0.4955
0.8468 0.9522 0.3280
0.3467 0.3773 0.1781
0.8470 0.6126 0.6454

Entry three
CeYEr PBE optimized geometry; calculated density = 6.9 g/cm³; Fermi-level density of states = 16.8 states/eV/cell
1.0
3.3914 0.0000 0.0000
0.0000 8.6512 0.0000
0.0000 0.0000 6.4586
Er Ce Y
2 2 2
direct
0.0000 0.5000 0.0000
0.0000 0.5000 0.5000
0.0000 0.8275 0.2500
0.0000 0.1725 0.7500
0.5000 0.1831 0.2500
0.5000 0.8169 0.7500

Stability comparison, relative energies in meV per atom: entry one 0; entry two 13; entry three 174

Entry one
CeY2Er8 PBE optimized geometry; calculated density = 8.1 g/cm³; Fermi-level density of states = 17.3 states/eV/cell
1.0
4.8114 0.0000 -1.2814
-0.5173 7.6170 -1.9424
-0.0932 -0.0753 9.3239
Er Ce Y
8 1 2
direct
0.4101 0.5461 0.8203
0.9556 0.2700 0.9111
0.8645 0.8213 0.7289
0.5899 0.4539 0.1797
0.1355 0.1787 0.2711
0.0444 0.7300 0.0889
0.3199 0.0931 0.6398
0.6801 0.9069 0.3602
0.5000 0.0000 0.0000
0.7716 0.3622 0.5433
0.2284 0.6378 0.4567

Entry two
CeY2Er8 PBE optimized geometry; calculated density = 7.7 g/cm³; Fermi-level density of states = 22.0 states/eV/cell
1.0
-3.4247 -4.3145 0.0002
5.3966 -3.6787 -7.7132
8.0772 -5.8062 -1.7883
Er Y Ce
8 2 1
direct
0.2334 0.1861 0.1861
0.7327 0.8669 0.3969
0.2673 0.6031 0.1331
0.7666 0.8139 0.8139
0.2376 0.5468 0.5468
0.7327 0.3969 0.8669
0.7624 0.4532 0.4532
0.2673 0.1331 0.6031
0.2488 0.7164 0.7164
0.7512 0.2836 0.2836
0.0000 0.0000 0.0000

Stability comparison, relative energies in meV per atom: entry one 0; entry two 136